ScIr2Pb, optimized geometry, DFT GGA-PBE; electronic total energy = -27.84 eV/cell; N(E_F) = 2.4 states/eV/cell; energy relative to the elements = -1.82 kJ per mole of atoms; space group = P4mm (99)
1.0
3.1079 -0.0020 0.0000
0.0019 3.1079 0.0000
0.0000 0.0000 7.9136
Sc Ir Pb
1 2 1
Direct
0.5000 0.5000 0.8018
0.5000 0.5000 0.2335
0.0000 0.0000 0.0012
0.0000 0.0000 0.4635